Model A:
Computed, not measured: an optimized crystal structure of Pr2Sm2Hg at the PBE level of DFT. Values from VASP.

As for the mass density: 8.1 g cm⁻³. Its density of states at the Fermi level is 1.402 states/eV/atom. The symmetry is I4/mmm (139).

```
&SYSTEM
  ibrav = 0, nat = 5, ntyp = 3
/
ATOMIC_SPECIES
Sm 150.36 Sm.upf
Hg 200.59 Hg.upf
Pr 140.91 Pr.upf
CELL_PARAMETERS angstrom
3.6745 0.0000 -0.5896
-0.0946 3.6733 -0.5896
0.0288 0.0295 11.9249
ATOMIC_POSITIONS crystal
Sm 0.5844 0.5844 0.1689
Sm 0.4156 0.4156 0.8311
Hg 0.0000 0.0000 0.0000
Pr 0.1938 0.1938 0.3877
Pr 0.8062 0.8062 0.6123
```



Model B:
Computed, not measured: an optimized crystal structure of Pr2Sm2Hg at the PBE level of DFT. Values from VASP.

As for the mass density: 8.1 g cm⁻³. Its density of states at the Fermi level is 1.149 states/eV/atom. The symmetry is C2/m (12).

```
&SYSTEM
  ibrav = 0, nat = 10, ntyp = 3
/
ATOMIC_SPECIES
Sm 150.36 Sm.upf
Pr 140.91 Pr.upf
Hg 200.59 Hg.upf
CELL_PARAMETERS angstrom
-0.8721 0.3941 -8.5452
-5.2030 -0.2246 -3.8055
-1.1519 7.9601 -4.5705
ATOMIC_POSITIONS crystal
Sm 0.7298 0.0000 0.4256
Sm 0.6058 0.0000 0.1142
Sm 0.3942 0.0000 0.8858
Sm 0.2702 0.0000 0.5744
Pr 0.3259 0.6236 0.2814
Pr 0.9495 0.3764 0.2814
Pr 0.0505 0.6236 0.7186
Pr 0.6741 0.3764 0.7186
Hg 0.8389 0.3222 0.0000
Hg 0.1611 0.6778 0.0000
```



Which structure is most stable? model A, by 95 meV per atom over the runner-up.